DFT (PBE-GGA) results for a relaxed structure of K2Y2F7.

Calculated values
Calculated volume ... 205 Å³/f.u.
D(E_F) ... 0.1593 states/eV/atom
Formation energy (no corrections) ... -3456.9 meV/atom

abc: 5.617 6.506 5.617
angles: 90.00 94.31 90.00
Fractional coordinates of all 11 atoms:
K 0.739 0.500 0.739
K 0.261 0.500 0.261
Y 0.730 0.000 0.270
Y 0.270 0.000 0.730
F 0.000 0.198 0.500
F 0.500 0.802 0.000
F 0.000 0.802 0.500
F 0.500 0.198 0.000
F 0.000 0.000 0.000
F 0.500 0.805 0.500
F 0.500 0.195 0.500